DFT (PBE+U) results for NaVReO6 after structural relaxation.

Calculated total energy = -7.399 eV/atom

Geometry as CIF:
```
data_NaVReO6
_cell_length_a 5.078
_cell_length_b 5.141
_cell_length_c 5.211
_cell_angle_alpha 90.55
_cell_angle_beta 90.82
_cell_angle_gamma 118.05
_space_group_name_H-M_alt 'P 1'
_space_group_IT_number 1
loop_
_space_group_symop_operation_xyz
'x,y,z'
loop_
_atom_site_label
_atom_site_fract_x
_atom_site_fract_y
_atom_site_fract_z
Na1 0.000 0.000 0.000
V1 0.330 0.674 0.446
Re1 0.659 0.320 0.517
O1 0.000 0.368 0.683
O2 0.000 0.616 0.281
O3 0.382 0.010 0.693
O4 0.406 0.378 0.274
O5 0.627 0.618 0.690
O6 0.632 0.011 0.282
```